! Hf2AlInAg2Pd2, relaxed, DFT PBE; values from VASP
! Magnetic moment   0.00 μB per cell
! Volume   141.89 Å³ per cell
! Final energy   -5.7275 eV per atom
! Space-group type   P-4m2, No. 115
! Density   10.85 Mg/m³
&SYSTEM
  ibrav = 0, nat = 8, ntyp = 5
/
ATOMIC_SPECIES
Hf 178.49 Hf.upf
Al 26.98 Al.upf
Pd 106.42 Pd.upf
Ag 107.87 Ag.upf
In 114.82 In.upf
CELL_PARAMETERS angstrom
4.638 0.000 0.000
0.000 4.638 0.000
0.000 0.000 6.596
ATOMIC_POSITIONS crystal
Hf 0.000 0.000 0.500
Hf 0.500 0.500 0.000
Al 0.000 0.000 0.000
Pd 0.500 0.000 0.768
Pd 0.000 0.500 0.232
Ag 0.500 0.000 0.239
Ag 0.000 0.500 0.761
In 0.500 0.500 0.500